# 1
DFT (GGA-PBEsol) results for a geometry-optimized SrV2P4O14 structure.

uncorrected formation energy	-229.9	kJ per mole of atoms
total magnetization	0.190	μB per atom

a = 4.812 Å, b = 7.114 Å, c = 7.826 Å
α = 90.04°, β = 87.78°, γ = 73.37°
Element x y z (fractional)
Sr: 0.000 0.000 0.000
V: 0.500 0.500 0.000
V: 0.000 0.000 0.500
P: 0.968 0.617 0.753
P: 0.032 0.383 0.247
P: 0.383 0.227 0.703
P: 0.617 0.773 0.297
O: 0.091 0.199 0.351
O: 0.909 0.801 0.649
O: 0.306 0.442 0.207
O: 0.694 0.558 0.793
O: 0.119 0.649 0.917
O: 0.881 0.351 0.083
O: 0.194 0.443 0.648
O: 0.514 0.762 0.113
O: 0.486 0.238 0.887
O: 0.820 0.906 0.293
O: 0.180 0.094 0.707
O: 0.376 0.825 0.433
O: 0.624 0.175 0.567
O: 0.806 0.557 0.352

=====

# 2
DFT (GGA-PBEsol) results for a geometry-optimized MoBr3 structure.

uncorrected formation energy	-8.4	kJ per mole of atoms
total magnetization	0.000	μB per atom

a = 3.266 Å, b = 3.266 Å, c = 9.710 Å
α = 80.32°, β = 80.32°, γ = 60.00°
Element x y z (fractional)
Mo: 0.000 0.000 0.000
Br: 0.500 0.500 0.500
Br: 0.271 0.271 0.186
Br: 0.729 0.729 0.814

=====

# 3
DFT (GGA-PBEsol) results for a geometry-optimized MgAs2S2 structure.

uncorrected formation energy	-5.0	kJ per mole of atoms
total magnetization	0.000	μB per atom

a = 3.520 Å, b = 7.691 Å, c = 7.691 Å
α = 90.00°, β = 90.00°, γ = 90.00°
Element x y z (fractional)
Mg: 0.000 0.000 0.000
Mg: 0.000 0.500 0.500
As: 0.000 0.297 0.797
As: 0.000 0.797 0.703
As: 0.000 0.703 0.203
As: 0.000 0.203 0.297
S: 0.500 0.153 0.653
S: 0.500 0.653 0.847
S: 0.500 0.847 0.347
S: 0.500 0.347 0.153